(1)
MnAg | PBE | relaxed

Summary:
formation energy = 53.04 kJ per mole of atoms

Unit cell a=5.175 b=5.175 c=5.175 alpha=147.20 beta=127.20 gamma=63.57
Element x y z (fractional)
Mn1 0.416 0.166 0.250
Mn2 0.584 0.834 0.750
Ag1 0.142 0.392 0.750
Ag2 0.858 0.608 0.250

(2)
HRhO2 | PBE | relaxed

Summary:
VASP energy = -5.797 eV per atom

Unit cell a=4.019 b=9.550 c=4.172 alpha=90.00 beta=90.00 gamma=90.00
Element x y z (fractional)
H1 0.225 0.126 0.000
H2 0.275 0.626 0.500
H3 0.725 0.374 0.000
H4 0.775 0.874 0.500
Rh1 0.037 0.372 0.529
Rh2 0.463 0.872 0.029
Rh3 0.537 0.128 0.529
Rh4 0.963 0.628 0.029
O1 0.036 0.163 0.589
O2 0.038 0.597 0.531
O3 0.462 0.097 0.031
O4 0.464 0.663 0.089
O5 0.536 0.337 0.589
O6 0.538 0.903 0.531
O7 0.962 0.403 0.031
O8 0.964 0.837 0.089

(3)
Re2SiAg | PBE | relaxed

Summary:
E_form (uncorrected) = 407.1 meV per atom

Unit cell a=2.760 b=2.760 c=9.177 alpha=90.00 beta=90.00 gamma=116.51
Element x y z (fractional)
Re1 0.000 0.000 0.000
Re2 0.500 0.500 0.237
Si1 0.000 0.000 0.463
Ag1 0.500 0.500 0.721

(4)
LiTbCdBr6 | PBE | relaxed

Summary:
E_form (uncorrected) = -1418.8 meV per atom

Unit cell a=7.039 b=7.039 c=12.829 alpha=90.00 beta=90.00 gamma=120.00
Element x y z (fractional)
Li1 0.000 0.000 0.000
Li2 0.000 0.000 0.500
Tb1 0.333 0.667 0.250
Tb2 0.667 0.333 0.750
Cd1 0.333 0.667 0.750
Cd2 0.667 0.333 0.250
Br1 0.001 0.340 0.625
Br2 0.001 0.661 0.875
Br3 0.339 0.340 0.875
Br4 0.339 0.999 0.625
Br5 0.340 0.001 0.125
Br6 0.340 0.339 0.375
Br7 0.660 0.661 0.625
Br8 0.660 0.999 0.875
Br9 0.661 0.001 0.375
Br10 0.661 0.660 0.125
Br11 0.999 0.339 0.125
Br12 0.999 0.660 0.375

(5)
Na2Ca2UO6 | PBE | relaxed

Summary:
E_form (uncorrected) = -2741.8 meV per atom

Unit cell a=5.923 b=5.923 c=5.916 alpha=100.14 beta=100.14 gamma=118.50
Element x y z (fractional)
Na1 0.171 0.829 0.000
Na2 0.829 0.171 0.000
Ca1 0.337 0.663 0.500
Ca2 0.663 0.337 0.500
U1 0.000 0.000 0.500
O1 0.054 0.366 0.701
O2 0.222 0.222 0.299
O3 0.366 0.054 0.701
O4 0.634 0.946 0.299
O5 0.778 0.778 0.701
O6 0.946 0.634 0.299

(6)
La2Pr12Y | PBE | relaxed

Summary:
formation energy = 28.27 kJ per mole of atoms

Unit cell a=6.692 b=6.692 c=25.775 alpha=90.00 beta=90.00 gamma=90.00
Element x y z (fractional)
La1 0.250 0.750 0.235
La2 0.250 0.750 0.765
La3 0.750 0.250 0.235
La4 0.750 0.250 0.765
Pr1 0.062 0.562 0.387
Pr2 0.062 0.938 0.613
Pr3 0.082 0.582 0.938
Pr4 0.082 0.918 0.062
Pr5 0.250 0.250 0.162
Pr6 0.250 0.250 0.286
Pr7 0.250 0.250 0.714
Pr8 0.250 0.250 0.838
Pr9 0.418 0.582 0.062
Pr10 0.418 0.918 0.938
Pr11 0.438 0.562 0.613
Pr12 0.438 0.938 0.387
Pr13 0.562 0.062 0.613
Pr14 0.562 0.438 0.387
Pr15 0.582 0.082 0.062
Pr16 0.582 0.418 0.938
Pr17 0.750 0.750 0.162
Pr18 0.750 0.750 0.286
Pr19 0.750 0.750 0.714
Pr20 0.750 0.750 0.838
Pr21 0.918 0.082 0.938
Pr22 0.918 0.418 0.062
Pr23 0.938 0.062 0.387
Pr24 0.938 0.438 0.613
Y1 0.250 0.750 0.500
Y2 0.750 0.250 0.500

(7)
Nd5Y3Se8 | PBE | relaxed

Summary:
E_form (uncorrected) = -1806.7 meV per atom

Unit cell a=8.398 b=8.398 c=8.398 alpha=59.37 beta=59.37 gamma=59.37
Element x y z (fractional)
Nd1 0.000 0.000 0.000
Nd2 0.000 0.500 0.500
Nd3 0.500 0.000 0.500
Nd4 0.500 0.500 0.000
Nd5 0.500 0.500 0.500
Y1 0.000 0.000 0.500
Y2 0.000 0.500 0.000
Y3 0.500 0.000 0.000
Se1 0.241 0.750 0.750
Se2 0.245 0.245 0.245
Se3 0.250 0.250 0.759
Se4 0.250 0.759 0.250
Se5 0.750 0.241 0.750
Se6 0.750 0.750 0.241
Se7 0.755 0.755 0.755
Se8 0.759 0.250 0.250

(8)
Sc5GaCu4 | PBE | relaxed

Summary:
formation energy = -33.86 kJ per mole of atoms

Unit cell a=3.254 b=3.254 c=16.649 alpha=90.00 beta=90.00 gamma=90.00
Element x y z (fractional)
Sc1 0.000 0.000 0.000
Sc2 0.000 0.000 0.197
Sc3 0.000 0.000 0.393
Sc4 0.000 0.000 0.607
Sc5 0.000 0.000 0.803
Ga1 0.500 0.500 0.500
Cu1 0.500 0.500 0.097
Cu2 0.500 0.500 0.296
Cu3 0.500 0.500 0.704
Cu4 0.500 0.500 0.903

(9)
CoCuTc2 | PBE | relaxed

Summary:
formation energy = 16.76 kJ per mole of atoms
polymorph energy (0 for the lowest one) = 0.048 eV per atom

Unit cell a=4.585 b=4.585 c=4.585 alpha=132.12 beta=132.12 gamma=70.04
Element x y z (fractional)
Co1 0.000 0.000 0.000
Cu1 0.750 0.250 0.500
Tc1 0.250 0.750 0.500
Tc2 0.500 0.500 0.000

(10)
MgCr2Os2 | PBE | relaxed

Summary:
formation energy = 18.67 kJ per mole of atoms
polymorph energy (0 for the lowest one) = 0.003 eV per atom

Unit cell a=7.351 b=7.351 c=2.699 alpha=90.00 beta=90.00 gamma=90.00
Element x y z (fractional)
Mg1 0.000 0.000 0.000
Mg2 0.500 0.500 0.000
Cr1 0.119 0.381 0.000
Cr2 0.381 0.881 0.000
Cr3 0.619 0.119 0.000
Cr4 0.881 0.619 0.000
Os1 0.168 0.668 0.500
Os2 0.332 0.168 0.500
Os3 0.668 0.832 0.500
Os4 0.832 0.332 0.500

(11)
Ba2ScW | PBE | relaxed

Summary:
formation energy = 118.55 kJ per mole of atoms
polymorph energy (0 for the lowest one) = 0.540 eV per atom

Unit cell a=3.248 b=5.562 c=6.577 alpha=90.00 beta=90.30 gamma=90.00
Element x y z (fractional)
Ba1 0.003 0.000 0.259
Ba2 0.997 0.000 0.741
Sc1 0.500 0.500 0.000
W1 0.500 0.500 0.500

(12)
ZrCdF2 | PBE | relaxed

Summary:
E_form (uncorrected) = -1734.2 meV per atom
polymorph energy (0 for the lowest one) = 0.244 eV per atom

Unit cell a=7.818 b=7.818 c=7.818 alpha=147.37 beta=147.37 gamma=46.81
Element x y z (fractional)
Zr1 0.000 0.000 0.000
Zr2 0.750 0.250 0.500
Cd1 0.250 0.750 0.500
Cd2 0.500 0.500 0.000
F1 0.375 0.215 0.340
F2 0.785 0.125 0.160
F3 0.875 0.035 0.660
F4 0.965 0.625 0.840

(13)
Ho4CoCu3 | PBE | relaxed

Summary:
formation energy = -25.12 kJ per mole of atoms

Unit cell a=3.695 b=4.359 c=10.274 alpha=90.00 beta=90.00 gamma=90.00
Element x y z (fractional)
Ho1 0.000 0.000 0.000
Ho2 0.000 0.500 0.269
Ho3 0.500 0.000 0.479
Ho4 0.500 0.500 0.773
Co1 0.500 0.000 0.205
Cu1 0.000 0.000 0.701
Cu2 0.000 0.500 0.559
Cu3 0.500 0.500 0.060

(14)
SrGaNiHg2 | PBE | relaxed

Summary:
formation energy = -25.66 kJ per mole of atoms

Unit cell a=5.099 b=5.099 c=4.656 alpha=90.00 beta=90.00 gamma=90.00
Element x y z (fractional)
Sr1 0.000 0.000 0.000
Ga1 0.500 0.500 0.000
Ni1 0.500 0.500 0.500
Hg1 0.000 0.500 0.500
Hg2 0.500 0.000 0.500

(15)
SrSi2Pt | PBE | relaxed

Summary:
E_form (uncorrected) = -674.3 meV per atom

Unit cell a=4.740 b=4.159 c=4.808 alpha=90.00 beta=90.59 gamma=90.00
Element x y z (fractional)
Sr1 0.000 0.000 0.000
Si1 0.496 0.500 0.759
Si2 0.504 0.500 0.241
Pt1 0.500 0.000 0.500

(16)
YPPbW2 | PBE | relaxed

Summary:
formation energy = 264.71 kJ per mole of atoms

Unit cell a=5.088 b=5.088 c=5.564 alpha=90.00 beta=90.00 gamma=90.00
Element x y z (fractional)
Y1 0.000 0.000 0.000
P1 0.500 0.500 0.500
Pb1 0.000 0.000 0.500
W1 0.000 0.500 0.000
W2 0.500 0.000 0.000

(17)
NpP2Rh | PBE | relaxed

Summary:
formation energy = -76.06 kJ per mole of atoms
polymorph energy (0 for the lowest one) = 0.000 eV per atom

Unit cell a=5.706 b=5.706 c=5.706 alpha=39.63 beta=39.63 gamma=39.63
Element x y z (fractional)
Np1 0.000 0.000 0.000
P1 0.234 0.234 0.234
P2 0.766 0.766 0.766
Rh1 0.500 0.500 0.500

(18)
NaHfCu2 | PBE | relaxed

Summary:
formation energy = 28.18 kJ per mole of atoms
polymorph energy (0 for the lowest one) = 0.000 eV per atom

Unit cell a=4.576 b=4.576 c=4.576 alpha=60.00 beta=60.00 gamma=60.00
Element x y z (fractional)
Na1 0.000 0.000 0.000
Hf1 0.500 0.500 0.500
Cu1 0.250 0.250 0.250
Cu2 0.750 0.750 0.750

(19)
MnAlFe3 | PBE | relaxed

Summary:
formation energy = 161.04 kJ per mole of atoms
polymorph energy (0 for the lowest one) = 1.748 eV per atom

Unit cell a=4.102 b=4.102 c=4.102 alpha=90.00 beta=90.00 gamma=90.00
Element x y z (fractional)
Mn1 0.000 0.000 0.000
Al1 0.500 0.500 0.500
Fe1 0.000 0.500 0.500
Fe2 0.500 0.000 0.500
Fe3 0.500 0.500 0.000

(20)
CsTl2SnS4 | PBE | relaxed

Summary:
E_form (uncorrected) = -374.6 meV per atom

Unit cell a=8.576 b=8.576 c=8.576 alpha=122.66 beta=118.59 gamma=88.96
Element x y z (fractional)
Cs1 0.500 0.000 0.000
Cs2 0.500 0.500 0.500
Tl1 0.000 0.000 0.000
Tl2 0.000 0.000 0.500
Tl3 0.000 0.500 0.000
Tl4 0.500 0.000 0.500
Sn1 0.000 0.500 0.500
Sn2 0.500 0.500 0.000
S1 0.192 0.736 0.456
S2 0.221 0.264 0.956
S3 0.232 0.258 0.526
S4 0.232 0.705 0.974
S5 0.768 0.295 0.026
S6 0.768 0.742 0.474
S7 0.779 0.736 0.044
S8 0.808 0.264 0.544